This record from Alexandria via LeMat-Bulk describes an optimized crystal structure of Rb3La2ScS6. The functional is PBE.

Mass density = 3.7 g/cm³
Total DFT energy (no corrections) = -5.47 eV per atom
DOS at the Fermi energy = 0.00 states/eV per atom
Spin magnetization = 0.0 μB/f.u.
Uncorrected formation energy = -1814 meV per atom

Cell: 7.2338 7.2338 8.0459 Å, 98.64 98.64 120.00°
Closest atoms and distances in Å follow each position.
Element x y z (fractional)
S (0.0640, 0.3740, 0.1918)  1 Sc 2.68, 2 La 2.90
S (0.3740, 0.0640, 0.1918)  1 Sc 2.68, 2 La 2.90
S (0.2455, 0.2455, 0.8080)  1 Sc 2.68, 2 La 2.90
S (0.9360, 0.6260, 0.8082)  1 Sc 2.68, 2 La 2.90
S (0.7545, 0.7545, 0.1920)  1 Sc 2.68, 2 La 2.90
S (0.6260, 0.9360, 0.8082)  1 Sc 2.68, 2 La 2.90
La (0.3335, 0.6665, 0.0000)  6 S 2.90
La (0.6665, 0.3335, 0.0000)  6 S 2.90
Sc (0.0000, 0.0000, 0.0000)  6 S 2.68
Rb (0.5000, 0.5000, 0.5000)  6 S 3.32-3.50
Rb (0.1682, 0.8318, 0.5000)  6 S 3.32-3.49
Rb (0.8318, 0.1682, 0.5000)  6 S 3.32-3.49